# 1
DFT (GGA-PBE) results for a geometry-optimized Ac3BiSb4 structure.

a b c (Å): 4.721 4.721 15.939
angles (deg): 90.00 90.00 120.00
Atoms (fractional coordinates):
Sb 0.333 0.667 0.890
Sb 0.333 0.667 0.369
Sb 0.667 0.333 0.110
Sb 0.667 0.333 0.631
Ac 0.000 0.000 0.500
Ac 0.000 0.000 0.239
Ac 0.000 0.000 0.761
Bi 0.000 0.000 0.000

Energy ... -4.86 eV/atom


# 2
DFT (GGA-PBE) results for a geometry-optimized Ac6Bi5Sb structure.

a b c (Å): 16.128 8.423 8.430
angles (deg): 60.03 64.23 29.53
Atoms (fractional coordinates):
Sb 0.000 0.000 0.000
Ac 0.752 0.083 0.330
Ac 0.248 0.586 0.330
Ac 0.249 0.256 0.000
Ac 0.751 0.744 0.000
Ac 0.752 0.414 0.670
Ac 0.248 0.917 0.670
Bi 0.500 0.168 0.665
Bi 0.000 0.333 0.333
Bi 0.500 0.500 0.000
Bi 0.000 0.667 0.667
Bi 0.500 0.832 0.335

Energy ... -5.06 eV/atom


# 3
DFT (GGA-PBE) results for a geometry-optimized AcBiSb4 structure.

a b c (Å): 6.363 6.363 6.363
angles (deg): 60.00 60.00 60.00
Atoms (fractional coordinates):
Sb 0.626 0.626 0.122
Sb 0.626 0.122 0.626
Sb 0.626 0.626 0.626
Sb 0.122 0.626 0.626
Ac 0.250 0.250 0.250
Bi 0.000 0.000 0.000

Energy ... -4.27 eV/atom


These records have N(E_F) values of 0.72 1.05 4.78 states/eV/cell, in the order they appear.